No. 1
An optimized crystal structure of MgZrOs2, computed with PBE-GGA.

Unit cell a=2.8824 b=4.1232 c=5.6202 alpha=90.00 beta=90.00 gamma=90.00
Last column: nearest neighbours and their distance in Å.
Fractional coordinates of all 4 atoms:
Mg 0.0000 0.0000 0.0000  5 Os 2.61-2.85, 2 Mg 2.88
Zr 0.5000 0.5000 0.7172  6 Os 2.70-2.92, 2 Zr 2.88, 4 Mg 2.98
Os 0.0000 0.0000 0.4642  1 Mg 2.61, 6 Os 2.82-2.88, 4 Zr 2.89
Os 0.5000 0.5000 0.2367  2 Zr 2.70-2.92, 6 Os 2.82-2.88, 4 Mg 2.85

Energy of formation, eV/atom: 0.112
SG: Pmm2, No. 25

=====

No. 2
An optimized crystal structure of MgZrOs2, computed with PBE-GGA.

Unit cell a=8.9389 b=8.9389 c=8.9389 alpha=19.28 beta=19.28 gamma=19.28
Last column: nearest neighbours and their distance in Å.
Fractional coordinates of all 4 atoms:
Mg 0.0000 0.0000 0.0000  6 Os 2.81, 6 Mg 2.99
Zr 0.5000 0.5000 0.5000  6 Os 2.77, 6 Zr 2.99
Os 0.2490 0.2490 0.2490  3 Zr 2.77, 3 Mg 2.81, 6 Os 2.99
Os 0.7510 0.7510 0.7510  3 Zr 2.77, 3 Mg 2.81, 6 Os 2.99

Energy of formation, eV/atom: 0.209
SG: R-3m, No. 166

=====

No. 3
An optimized crystal structure of MgZrOs2, computed with PBE-GGA.

Unit cell a=2.8145 b=4.4250 c=5.3526 alpha=90.00 beta=95.57 gamma=90.00
Last column: nearest neighbours and their distance in Å.
Fractional coordinates of all 4 atoms:
Mg 0.0000 0.0000 0.0000  4 Os 2.64, 2 Mg 2.81, 2 Zr 2.90
Zr 0.5000 0.0000 0.5000  4 Os 2.79, 2 Zr 2.81, 2 Mg 2.90
Os 0.2460 0.5000 0.7745  2 Mg 2.64, 4 Os 2.68-2.90, 2 Zr 2.79
Os 0.7540 0.5000 0.2255  2 Mg 2.64, 4 Os 2.68-2.90, 2 Zr 2.79

Energy of formation, eV/atom: 0.084
SG: P2/m, No. 10

=====

No. 4
An optimized crystal structure of Mg2ZrOs, computed with PBE-GGA.

Unit cell a=5.6189 b=5.6189 c=2.7895 alpha=96.85 beta=96.85 gamma=120.71
Last column: nearest neighbours and their distance in Å.
Fractional coordinates of all 4 atoms:
Mg 0.0000 0.5000 0.0000  4 Mg 2.78-2.79, 2 Zr 2.98, 2 Os 2.98
Mg 0.5000 0.0000 0.0000  4 Mg 2.78-2.79, 2 Zr 2.98, 2 Os 2.98
Zr 0.0000 0.0000 0.5000  2 Os 2.78, 2 Zr 2.79, 4 Mg 2.98
Os 0.5000 0.5000 0.5000  2 Zr 2.78, 2 Os 2.79, 4 Mg 2.98

E above lowest polymorph, kJ per mole of atoms: 25.2
Energy of formation, eV/atom: 0.163
SG: C2/m, No. 12

=====

No. 5
An optimized crystal structure of MgZrOs2, computed with PBE-GGA.

Unit cell a=2.8652 b=2.8652 c=8.7925 alpha=90.00 beta=90.00 gamma=112.09
Last column: nearest neighbours and their distance in Å.
Fractional coordinates of all 4 atoms:
Mg 0.0000 0.0000 0.0000  4 Os 2.72, 4 Mg 2.87
Zr 0.0000 0.0000 0.5000  4 Os 2.71, 4 Zr 2.87
Os 0.5000 0.5000 0.2507  2 Zr 2.71, 2 Mg 2.72, 4 Os 2.87
Os 0.5000 0.5000 0.7493  2 Zr 2.71, 2 Mg 2.72, 4 Os 2.87

Energy of formation, eV/atom: 0.125
SG: Cmmm, No. 65

=====

No. 6
An optimized crystal structure of MgZrOs4, computed with PBE-GGA.

Unit cell a=5.2211 b=5.2211 c=5.2211 alpha=60.00 beta=60.00 gamma=60.00
Last column: nearest neighbours and their distance in Å.
Fractional coordinates of all 6 atoms:
Mg 0.0000 0.0000 0.0000  12 Os 3.06, 4 Zr 3.20
Zr 0.7500 0.7500 0.7500  12 Os 3.06, 4 Mg 3.20
Os 0.3747 0.3747 0.3747  6 Os 2.60-2.62
Os 0.3747 0.3747 0.8759  6 Os 2.60-2.62
Os 0.3747 0.8759 0.3747  6 Os 2.60-2.62
Os 0.8759 0.3747 0.3747  6 Os 2.60-2.62

Energy of formation, eV/atom: -0.078
SG: F-43m, No. 216